Record 1
NaEr3Fe: optimized geometry, PBE.

Results
DFT total energy = -4.56 eV/atom
SG = Pm-3m

a = 5.2375 Å, b = 5.2375 Å, c = 5.2375 Å
α = 90.00°, β = 90.00°, γ = 90.00°
Fractional positions:
Er 0.0000 0.0000 0.5000
Er 0.0000 0.5000 0.0000
Na 0.5000 0.5000 0.5000
Er 0.5000 0.0000 0.0000
Fe 0.0000 0.0000 0.0000

***

Record 2
NaEr2Fe: optimized geometry, PBE.

Results
SG = R-3m
Polymorph energy (0 for the lowest one) = 200 meV/atom

a = 3.6557 Å, b = 3.6557 Å, c = 10.5694 Å
α = 80.04°, β = 80.04°, γ = 60.00°
Fractional positions:
Er 0.8842 0.8842 0.3475
Fe 0.5000 0.5000 0.5000
Na 0.0000 0.0000 0.0000
Er 0.1158 0.1158 0.6525